Here is a relaxed Li7Mn2Co3O12 crystal from the Alexandria database. Energies are from PBE with a Hubbard U.

Lattice parameters (Å, degrees): 8.293 2.871 9.732 90.00 114.83 90.00
Space group P2/m (No. 10)
Inequivalent atoms, fractional coordinates:
Li (0.000, 0.000, 0.000)
Li (0.000, 0.500, 0.500)
Li (0.168, 0.000, 0.330)
Li (0.309, 0.500, 0.166)
Li (0.500, 0.000, 0.000)
Mn (0.157, 0.500, 0.835)
Co (0.341, 0.000, 0.669)
Co (0.500, 0.500, 0.500)
O (0.066, 0.500, 0.170)
O (0.095, 0.000, 0.681)
O (0.240, 0.000, 0.982)
O (0.270, 0.500, 0.511)
O (0.400, 0.500, 0.826)
O (0.426, 0.000, 0.350)

Output
Energy above the lowest structure with this stoichiometry   36 meV per atom
Energy   -5.861 eV/atom